An optimized crystal structure of ZrScSi2. Source: the Alexandria database, functional PBE.

D(E_F) = 1.59 states/eV/f.u.
space-group type = P4/mmm
energy above the lowest structure with this stoichiometry = 8.33 kcal/mol of atoms
calculated volume = 17.68 Å³/atom
ΔE_f (raw) = -49.7 kJ/mol of atoms
spin magnetization = 0.1295 μB/atom

Lattice parameters (Å, degrees): 2.995 2.995 7.882 90.00 90.00 90.00
Site moments in Bohr magnetons follow the coordinates.
Element x y z (fractional)
Sc 0.500 0.500 0.750  0.35
Si 0.000 0.000 0.999  -0.01
Si 0.000 0.000 0.501  -0.01
Zr 0.500 0.500 0.250  0.04